(1)
VASP calculation (PBE) on an optimized crystal structure of Hg2AsIr.

Cell: 2.994 4.772 12.196 Å, 90.00 90.00 90.00°
Space group Imm2 (No. 44)
Asymmetric unit:
Hg1 0.000 0.000 0.000 (multiplicity 2)
Hg2 0.000 0.500 0.180 (multiplicity 2)
As1 0.000 0.500 0.811 (multiplicity 2)
Ir1 0.000 0.000 0.470 (multiplicity 2)

Values from the calculation:
Magnetic moment, Bohr magnetons per cell: 0.00
DFT total energy, eV per atom: -3.34
Formation energy from the elements, eV/atom: 0.184

(2)
VASP calculation (PBE) on an optimized crystal structure of Hg2AsIr.

Cell: 3.0820 3.0820 28.4345 Å, 90.00 90.00 120.00°
Space group R-3m (No. 166, hexagonal axes)
Asymmetric unit:
Hg1 0.0000 0.0000 0.2452 (multiplicity 6)
As1 0.0000 0.0000 0.0000 (multiplicity 3)
Ir1 0.0000 0.0000 0.5000 (multiplicity 3)

Values from the calculation:
Magnetic moment, Bohr magnetons per cell: 0.34
DFT total energy, eV per atom: -2.98
Formation energy from the elements, eV/atom: 0.548

(3)
VASP calculation (PBE) on an optimized crystal structure of KHg2AsIr.

Cell: 5.406 5.406 4.759 Å, 90.00 90.00 90.00°
Space group P4/mmm (No. 123)
Asymmetric unit:
K1 0.000 0.000 0.000 (multiplicity 1)
Hg1 0.000 0.500 0.500 (multiplicity 2)
As1 0.500 0.500 0.000 (multiplicity 1)
Ir1 0.500 0.500 0.500 (multiplicity 1)

Values from the calculation:
Magnetic moment, Bohr magnetons per cell: 0.51
DFT total energy, eV per atom: -3.11
Formation energy from the elements, eV/atom: -0.072

(4)
VASP calculation (PBE) on an optimized crystal structure of LaHg2AsIr.

Cell: 6.196 6.196 5.403 Å, 90.00 90.00 90.00°
Space group P4/mmm (No. 123)
Asymmetric unit:
La1 0.000 0.000 0.000 (multiplicity 1)
Hg1 0.000 0.500 0.000 (multiplicity 2)
As1 0.000 0.000 0.500 (multiplicity 1)
Ir1 0.500 0.500 0.500 (multiplicity 1)

Values from the calculation:
Magnetic moment, Bohr magnetons per cell: 2.67
DFT total energy, eV per atom: -2.46
Formation energy from the elements, eV/atom: 1.344

(5)
VASP calculation (PBE) on an optimized crystal structure of LaHgAsIr2.

Cell: 4.960 4.960 5.634 Å, 90.00 90.00 90.00°
Space group P4/mmm (No. 123)
Asymmetric unit:
La1 0.000 0.000 0.000 (multiplicity 1)
Hg1 0.000 0.000 0.500 (multiplicity 1)
As1 0.500 0.500 0.000 (multiplicity 1)
Ir1 0.000 0.500 0.500 (multiplicity 2)

Values from the calculation:
Magnetic moment, Bohr magnetons per cell: 0.72
DFT total energy, eV per atom: -4.26
Formation energy from the elements, eV/atom: 1.262

(6)
VASP calculation (PBE) on an optimized crystal structure of LiHgAs2Ir.

Cell: 4.376 4.376 4.703 Å, 90.00 90.00 90.00°
Space group P4/mmm (No. 123)
Asymmetric unit:
Li1 0.000 0.000 0.000 (multiplicity 1)
Hg1 0.000 0.000 0.500 (multiplicity 1)
As1 0.000 0.500 0.000 (multiplicity 2)
Ir1 0.500 0.500 0.500 (multiplicity 1)

Values from the calculation:
Magnetic moment, Bohr magnetons per cell: 0.00
DFT total energy, eV per atom: -3.28
Formation energy from the elements, eV/atom: 0.792

(7)
VASP calculation (PBE) on an optimized crystal structure of MgHgAs2Ir.

Cell: 5.045 5.045 4.923 Å, 90.00 90.00 90.00°
Space group P4/mmm (No. 123)
Asymmetric unit:
Mg1 0.000 0.000 0.000 (multiplicity 1)
Hg1 0.000 0.000 0.500 (multiplicity 1)
As1 0.000 0.500 0.500 (multiplicity 2)
Ir1 0.500 0.500 0.000 (multiplicity 1)

Values from the calculation:
Magnetic moment, Bohr magnetons per cell: 0.00
DFT total energy, eV per atom: -2.60
Formation energy from the elements, eV/atom: 1.407

(8)
VASP calculation (PBE) on an optimized crystal structure of HgAsIr2Pd.

Cell: 4.950 4.950 4.497 Å, 90.00 90.00 90.00°
Space group P4/mmm (No. 123)
Asymmetric unit:
Hg1 0.000 0.000 0.000 (multiplicity 1)
As1 0.500 0.500 0.000 (multiplicity 1)
Ir1 0.000 0.500 0.500 (multiplicity 2)
Pd1 0.500 0.500 0.500 (multiplicity 1)

Values from the calculation:
Magnetic moment, Bohr magnetons per cell: 1.60
DFT total energy, eV per atom: -4.08
Formation energy from the elements, eV/atom: 1.494

(9)
VASP calculation (PBE) on an optimized crystal structure of HgAsIr2Pt.

Cell: 4.962 4.962 4.820 Å, 90.00 90.00 90.00°
Space group P4/mmm (No. 123)
Asymmetric unit:
Hg1 0.000 0.000 0.000 (multiplicity 1)
As1 0.000 0.000 0.500 (multiplicity 1)
Ir1 0.000 0.500 0.000 (multiplicity 2)
Pt1 0.500 0.500 0.500 (multiplicity 1)

Values from the calculation:
Magnetic moment, Bohr magnetons per cell: 1.86
DFT total energy, eV per atom: -3.45
Formation energy from the elements, eV/atom: 2.288

(10)
VASP calculation (PBE) on an optimized crystal structure of HgAsIrW2.

Cell: 4.913 4.913 4.603 Å, 90.00 90.00 90.00°
Space group P4/mmm (No. 123)
Asymmetric unit:
Hg1 0.000 0.000 0.000 (multiplicity 1)
As1 0.500 0.500 0.000 (multiplicity 1)
Ir1 0.500 0.500 0.500 (multiplicity 1)
W1 0.000 0.500 0.500 (multiplicity 2)

Values from the calculation:
Magnetic moment, Bohr magnetons per cell: 1.66
DFT total energy, eV per atom: -6.27
Formation energy from the elements, eV/atom: 1.677

(11)
VASP calculation (PBE) on an optimized crystal structure of YHgAs2Ir.

Cell: 5.318 5.318 5.583 Å, 90.00 90.00 90.00°
Space group P4/mmm (No. 123)
Asymmetric unit:
Y1 0.000 0.000 0.000 (multiplicity 1)
Hg1 0.000 0.000 0.500 (multiplicity 1)
As1 0.000 0.500 0.000 (multiplicity 2)
Ir1 0.500 0.500 0.500 (multiplicity 1)

Values from the calculation:
Magnetic moment, Bohr magnetons per cell: 1.60
DFT total energy, eV per atom: -3.67
Formation energy from the elements, eV/atom: 1.317

(12)
VASP calculation (PBE) on an optimized crystal structure of ZrHgAsIr2.

Cell: 4.918 4.918 5.163 Å, 90.00 90.00 90.00°
Space group P4/mmm (No. 123)
Asymmetric unit:
Zr1 0.000 0.000 0.000 (multiplicity 1)
Hg1 0.000 0.000 0.500 (multiplicity 1)
As1 0.500 0.500 0.000 (multiplicity 1)
Ir1 0.000 0.500 0.500 (multiplicity 2)

Values from the calculation:
Magnetic moment, Bohr magnetons per cell: 0.00
DFT total energy, eV per atom: -4.49
Formation energy from the elements, eV/atom: 1.750

(13)
VASP calculation (PBE) on an optimized crystal structure of K6Hg23As.

Cell: 15.430 15.430 15.430 Å, 90.00 90.00 90.00°
Space group Fm-3m (No. 225)
Asymmetric unit:
K1 0.000 0.000 0.211 (multiplicity 24)
Hg1 0.000 0.000 0.500 (multiplicity 4)
Hg2 0.000 0.250 0.250 (multiplicity 24)
Hg3 0.119 0.119 0.381 (multiplicity 32)
Hg4 0.165 0.165 0.165 (multiplicity 32)
As1 0.000 0.000 0.000 (multiplicity 4)

Values from the calculation:
Magnetic moment, Bohr magnetons per cell: 0.00
DFT total energy, eV per atom: -0.78
Formation energy from the elements, eV/atom: -0.172

(14)
VASP calculation (PBE) on an optimized crystal structure of K2HgAs.

Cell: 11.810 4.518 5.651 Å, 90.00 118.53 90.00°
Space group Cm (No. 8)
Asymmetric unit:
K1 0.000 0.000 0.000 (multiplicity 2)
K2 0.195 0.000 0.698 (multiplicity 2)
Hg1 0.415 0.000 0.446 (multiplicity 2)
As1 0.272 0.500 0.241 (multiplicity 2)

Values from the calculation:
Magnetic moment, Bohr magnetons per cell: 0.00
DFT total energy, eV per atom: -2.06
Energy above the lowest structure with this stoichiometry, meV per atom: 36
Formation energy from the elements, eV/atom: -0.272

(15)
VASP calculation (PBE) on an optimized crystal structure of KHgAs2.

Cell: 3.732 5.191 12.558 Å, 90.00 90.00 90.00°
Space group Amm2 (No. 38)
Asymmetric unit:
K1 0.000 0.000 0.000 (multiplicity 2)
Hg1 0.500 0.000 0.684 (multiplicity 2)
As1 0.000 0.000 0.278 (multiplicity 2)
As2 0.500 0.000 0.405 (multiplicity 2)

Values from the calculation:
Magnetic moment, Bohr magnetons per cell: 0.00
DFT total energy, eV per atom: -2.87
Formation energy from the elements, eV/atom: -0.194

(16)
VASP calculation (PBE) on an optimized crystal structure of K2HgAs.

Cell: 3.325 4.532 8.728 Å, 90.00 90.16 90.00°
Space group P2/m (No. 10)
Asymmetric unit:
K1 0.002 0.000 0.214 (multiplicity 2)
Hg1 0.500 0.500 0.500 (multiplicity 1)
As1 0.500 0.500 0.000 (multiplicity 1)

Values from the calculation:
Magnetic moment, Bohr magnetons per cell: 0.00
DFT total energy, eV per atom: -1.96
Energy above the lowest structure with this stoichiometry, meV per atom: 131
Formation energy from the elements, eV/atom: -0.177

(17)
VASP calculation (PBE) on an optimized crystal structure of KHgAs3.

Cell: 5.569 5.569 5.569 Å, 90.00 90.00 90.00°
Space group Pm-3m (No. 221)
Asymmetric unit:
K1 0.000 0.000 0.000 (multiplicity 1)
Hg1 0.500 0.500 0.500 (multiplicity 1)
As1 0.000 0.000 0.500 (multiplicity 3)

Values from the calculation:
Magnetic moment, Bohr magnetons per cell: 0.00
DFT total energy, eV per atom: -1.60
Energy above the lowest structure with this stoichiometry, meV per atom: 925
Formation energy from the elements, eV/atom: 1.465

(18)
VASP calculation (PBE) on an optimized crystal structure of K2Hg4As.

Cell: 5.492 5.492 17.870 Å, 90.00 90.00 90.00°
Space group I4/mmm (No. 139)
Asymmetric unit:
K1 0.000 0.000 0.134 (multiplicity 4)
Hg1 0.000 0.000 0.326 (multiplicity 4)
Hg2 0.000 0.500 0.000 (multiplicity 4)
As1 0.000 0.000 0.500 (multiplicity 2)

Values from the calculation:
Magnetic moment, Bohr magnetons per cell: 0.00
DFT total energy, eV per atom: -1.27
Formation energy from the elements, eV/atom: -0.121

(19)
VASP calculation (PBE) on an optimized crystal structure of K2Hg2As.

Cell: 7.718 7.718 5.360 Å, 90.00 90.00 90.00°
Space group P4/mbm (No. 127)
Asymmetric unit:
K1 0.180 0.320 0.000 (multiplicity 4)
Hg1 0.137 0.637 0.500 (multiplicity 4)
As1 0.000 0.000 0.500 (multiplicity 2)

Values from the calculation:
Magnetic moment, Bohr magnetons per cell: 0.00
DFT total energy, eV per atom: -1.68
Energy above the lowest structure with this stoichiometry, meV per atom: 95
Formation energy from the elements, eV/atom: -0.193

(20)
VASP calculation (PBE) on an optimized crystal structure of K2HgAs.

Cell: 8.360 8.385 3.680 Å, 90.00 90.00 90.00°
Space group Cmmm (No. 65)
Asymmetric unit:
K1 0.250 0.250 0.000 (multiplicity 4)
Hg1 0.000 0.000 0.500 (multiplicity 2)
As1 0.000 0.500 0.500 (multiplicity 2)

Values from the calculation:
Magnetic moment, Bohr magnetons per cell: 0.20
DFT total energy, eV per atom: -1.97
Energy above the lowest structure with this stoichiometry, meV per atom: 128
Formation energy from the elements, eV/atom: -0.180

(21)
VASP calculation (PBE) on an optimized crystal structure of KHgAs3.

Cell: 5.346 5.346 5.346 Å, 90.00 90.00 90.00°
Space group Pm-3m (No. 221)
Asymmetric unit:
K1 0.000 0.000 0.000 (multiplicity 1)
Hg1 0.500 0.500 0.500 (multiplicity 1)
As1 0.000 0.500 0.500 (multiplicity 3)

Values from the calculation:
Magnetic moment, Bohr magnetons per cell: 0.00
DFT total energy, eV per atom: -2.53
Energy above the lowest structure with this stoichiometry, meV per atom: 0
Formation energy from the elements, eV/atom: 0.541

(22)
VASP calculation (PBE) on an optimized crystal structure of K2HgAs.

Cell: 6.585 4.683 9.669 Å, 90.00 105.33 90.00°
Space group P2_1/m (No. 11)
Asymmetric unit:
K1 0.206 0.250 0.426 (multiplicity 2)
K2 0.275 0.750 0.072 (multiplicity 2)
Hg1 0.336 0.750 0.720 (multiplicity 2)
As1 0.166 0.250 0.784 (multiplicity 2)

Values from the calculation:
Magnetic moment, Bohr magnetons per cell: 0.00
DFT total energy, eV per atom: -2.10
Energy above the lowest structure with this stoichiometry, meV per atom: 0
Formation energy from the elements, eV/atom: -0.309

(23)
VASP calculation (PBE) on an optimized crystal structure of KHgAs2.

Cell: 3.081 5.608 6.377 Å, 90.00 90.20 90.00°
Space group P2/m (No. 10)
Asymmetric unit:
K1 0.000 0.000 0.000 (multiplicity 1)
Hg1 0.500 0.000 0.500 (multiplicity 1)
As1 0.498 0.500 0.813 (multiplicity 2)

Values from the calculation:
Magnetic moment, Bohr magnetons per cell: 0.00
DFT total energy, eV per atom: -2.73
Formation energy from the elements, eV/atom: -0.052

(24)
VASP calculation (PBE) on an optimized crystal structure of KHgAs2.

Cell: 4.9181 4.9181 17.5992 Å, 90.00 90.00 120.00°
Space group R-3m (No. 166, hexagonal axes)
Asymmetric unit:
K1 0.0000 0.0000 0.0000 (multiplicity 3)
Hg1 0.0000 0.0000 0.5000 (multiplicity 3)
As1 0.0000 0.0000 0.1932 (multiplicity 6)

Values from the calculation:
Magnetic moment, Bohr magnetons per cell: 0.00
DFT total energy, eV per atom: -2.66
Formation energy from the elements, eV/atom: 0.016

(25)
VASP calculation (PBE) on an optimized crystal structure of KHgAs2.

Cell: 3.606 3.606 8.152 Å, 90.00 90.00 90.00°
Space group P4mm (No. 99)
Asymmetric unit:
K1 0.000 0.000 0.000 (multiplicity 1)
Hg1 0.500 0.500 0.699 (multiplicity 1)
As1 0.000 0.000 0.419 (multiplicity 1)
As2 0.500 0.500 0.300 (multiplicity 1)

Values from the calculation:
Magnetic moment, Bohr magnetons per cell: 0.00
DFT total energy, eV per atom: -2.81
Formation energy from the elements, eV/atom: -0.132

(26)
VASP calculation (PBE) on an optimized crystal structure of K2HgAs.

Cell: 5.012 5.012 4.930 Å, 90.00 90.00 90.00°
Space group P4/mmm (No. 123)
Asymmetric unit:
K1 0.000 0.500 0.000 (multiplicity 2)
Hg1 0.000 0.000 0.500 (multiplicity 1)
As1 0.500 0.500 0.500 (multiplicity 1)

Values from the calculation:
Magnetic moment, Bohr magnetons per cell: 0.00
DFT total energy, eV per atom: -1.91
Energy above the lowest structure with this stoichiometry, meV per atom: 182
Formation energy from the elements, eV/atom: -0.127

(27)
VASP calculation (PBE) on an optimized crystal structure of KHgAs2.

Cell: 6.123 2.854 6.238 Å, 90.00 117.40 90.00°
Space group P2/m (No. 10)
Asymmetric unit:
K1 0.000 0.000 0.000 (multiplicity 1)
Hg1 0.500 0.000 0.500 (multiplicity 1)
As1 0.000 0.500 0.500 (multiplicity 1)
As2 0.500 0.500 0.000 (multiplicity 1)

Values from the calculation:
Magnetic moment, Bohr magnetons per cell: 0.00
DFT total energy, eV per atom: -2.53
Formation energy from the elements, eV/atom: 0.147

(28)
VASP calculation (PBE) on an optimized crystal structure of K3HgAs.

Cell: 6.426 6.426 6.426 Å, 90.00 90.00 90.00°
Space group Pm-3m (No. 221)
Asymmetric unit:
K1 0.000 0.000 0.500 (multiplicity 3)
Hg1 0.500 0.500 0.500 (multiplicity 1)
As1 0.000 0.000 0.000 (multiplicity 1)

Values from the calculation:
Magnetic moment, Bohr magnetons per cell: 0.00
DFT total energy, eV per atom: -1.86
Energy above the lowest structure with this stoichiometry, meV per atom: 122
Formation energy from the elements, eV/atom: -0.211